Entry from Alexandria: a relaxed structure of AlCu2Si (PBE).

```
data_AlCu2Si
_chemical_formula_sum 'Al1 Cu2 Si1'
_symmetry_space_group_name_H-M 'P 1'
_symmetry_Int_Tables_number 1
_cell_length_a 3.763
_cell_length_b 3.763
_cell_length_c 5.010
_cell_angle_alpha 90.00
_cell_angle_beta 90.00
_cell_angle_gamma 120.01
loop_
_symmetry_equiv_pos_as_xyz
'x,y,z'
loop_
_atom_site_label
_atom_site_type_symbol
_atom_site_fract_x
_atom_site_fract_y
_atom_site_fract_z
Si1 Si 0.000 0.000 0.000
Cu1 Cu 0.333 0.667 0.201
Al1 Al 0.000 0.000 0.500
Cu2 Cu 0.667 0.333 0.799
```

Output
**Symmetry**: P-3m1, No. 164
**Crystal system**: trigonal
**E_tot**: -16.8 eV per cell



Entry from Alexandria: a relaxed structure of Al2CuSi4 (PBE).

```
data_Al2CuSi4
_chemical_formula_sum 'Al4 Cu2 Si8'
_symmetry_space_group_name_H-M 'P 1'
_symmetry_Int_Tables_number 1
_cell_length_a 3.683
_cell_length_b 6.867
_cell_length_c 9.849
_cell_angle_alpha 81.92
_cell_angle_beta 90.00
_cell_angle_gamma 90.00
loop_
_symmetry_equiv_pos_as_xyz
'x,y,z'
loop_
_atom_site_label
_atom_site_type_symbol
_atom_site_fract_x
_atom_site_fract_y
_atom_site_fract_z
Si1 Si 0.750 0.379 0.214
Si2 Si 0.250 0.621 0.786
Al1 Al 0.750 0.338 0.962
Al2 Al 0.250 0.662 0.038
Al3 Al 0.250 0.824 0.448
Si3 Si 0.250 0.077 0.934
Si4 Si 0.250 0.978 0.710
Si5 Si 0.250 0.558 0.295
Al4 Al 0.750 0.176 0.552
Si6 Si 0.750 0.442 0.705
Cu1 Cu 0.750 0.793 0.638
Si7 Si 0.750 0.923 0.066
Si8 Si 0.750 0.022 0.290
Cu2 Cu 0.250 0.207 0.362
```

Output
**Symmetry**: P2_1/m, No. 11
**Crystal system**: monoclinic
**E_tot**: -64.1 eV per cell



Entry from Alexandria: a relaxed structure of AlCu2Si4 (PBE).

```
data_AlCu2Si4
_chemical_formula_sum 'Al2 Cu4 Si8'
_symmetry_space_group_name_H-M 'P 1'
_symmetry_Int_Tables_number 1
_cell_length_a 3.838
_cell_length_b 3.838
_cell_length_c 20.017
_cell_angle_alpha 89.97
_cell_angle_beta 90.01
_cell_angle_gamma 120.01
loop_
_symmetry_equiv_pos_as_xyz
'x,y,z'
loop_
_atom_site_label
_atom_site_type_symbol
_atom_site_fract_x
_atom_site_fract_y
_atom_site_fract_z
Al1 Al 0.667 0.334 0.603
Si1 Si 0.667 0.333 0.463
Cu1 Cu 0.667 0.333 0.084
Cu2 Cu 0.000 0.000 0.763
Si2 Si 0.667 0.333 0.199
Al2 Al 0.333 0.666 0.397
Si3 Si 0.333 0.666 0.271
Si4 Si 0.667 0.333 0.967
Cu3 Cu 0.000 0.000 0.237
Si5 Si 0.333 0.667 0.537
Si6 Si 0.333 0.667 0.801
Si7 Si 0.333 0.667 0.033
Cu4 Cu 0.333 0.667 0.916
Si8 Si 0.667 0.334 0.729
```

Output
**Symmetry**: C2/m, No. 12
**Crystal system**: monoclinic
**E_tot**: -63.8 eV per cell



Entry from Alexandria: a relaxed structure of Al3CuSi2 (PBE).

```
data_Al3CuSi2
_chemical_formula_sum 'Al6 Cu2 Si4'
_symmetry_space_group_name_H-M 'P 1'
_symmetry_Int_Tables_number 1
_cell_length_a 5.321
_cell_length_b 5.321
_cell_length_c 7.752
_cell_angle_alpha 90.00
_cell_angle_beta 90.00
_cell_angle_gamma 120.02
loop_
_symmetry_equiv_pos_as_xyz
'x,y,z'
loop_
_atom_site_label
_atom_site_type_symbol
_atom_site_fract_x
_atom_site_fract_y
_atom_site_fract_z
Cu1 Cu 0.000 0.000 0.500
Si1 Si 0.334 0.666 0.420
Al1 Al 0.342 0.171 0.250
Al2 Al 0.829 0.171 0.250
Al3 Al 0.171 0.829 0.750
Si2 Si 0.334 0.666 0.080
Al4 Al 0.658 0.829 0.750
Al5 Al 0.829 0.658 0.250
Cu2 Cu 0.000 0.000 0.000
Si3 Si 0.666 0.334 0.920
Al6 Al 0.171 0.342 0.750
Si4 Si 0.666 0.334 0.580
```

Output
**Symmetry**: P6_3/mmc, No. 194
**Crystal system**: hexagonal
**E_tot**: -49.1 eV per cell



> Which formula does entry 3 have?

AlCu2Si4



> What is the E_tot in the first record?

-16.8 eV per cell



> Among the records above, which one has the lowest E_tot?

Al2CuSi4